1.
Material: NiAgCl
Method: DFT, GGA-PBE
State: optimized geometry

Lattice parameters (Å, degrees): 6.2923 6.2923 6.2923 152.48 152.48 39.31
With the nearest neighbours (Å) after each atom.
Fractional positions:
Ag: 0.0276 0.0276 0.0000  4 Ni 2.79, 4 Ag 2.99
Cl: 0.2915 0.2915 0.0000  4 Ni 2.49
Ni: 0.6808 0.6808 0.0000  4 Cl 2.49, 4 Ag 2.79

## Properties
- Formation energy without anion corrections: 64.2 kJ/mol of formula units
- Relative energy among the computed polymorphs: 149.2 meV per atom
- Spin magnetization: 0.987 μB per formula unit
- Space-group type: No. 107
- Density of states at the Fermi level: 4.0 states/eV per cell

---

2.
Material: NiAgCl5
Method: DFT, GGA-PBE
State: optimized geometry

Lattice parameters (Å, degrees): 10.0296 8.1058 7.1335 81.93 76.88 51.78
With the nearest neighbours (Å) after each atom.
Fractional positions:
Ni: 0.0000 0.0000 0.0000  4 Cl 2.13-2.21
Ni: 0.0000 0.0000 0.5000  4 Cl 2.13-2.21
Ag: 0.5021 0.9958 0.7500  4 Cl 2.44-2.45
Ag: 0.4979 0.0042 0.2500  4 Cl 2.44-2.45
Cl: 0.2537 0.8140 0.8330  1 Ni 2.13
Cl: 0.3660 0.2625 0.5048  2 Ag 2.44-2.45
Cl: 0.0677 0.1860 0.3330  1 Ni 2.13
Cl: 0.8976 0.2049 0.7500  2 Ni 2.21
Cl: 0.3715 0.2625 0.9952  2 Ag 2.44-2.45
Cl: 0.6285 0.7375 0.0048  2 Ag 2.44-2.45
Cl: 0.1024 0.7951 0.2500  2 Ni 2.21
Cl: 0.9323 0.8140 0.6670  1 Ni 2.13
Cl: 0.6340 0.7375 0.4952  2 Ag 2.44-2.45
Cl: 0.7463 0.1860 0.1670  1 Ni 2.13

## Properties
- Formation energy without anion corrections: -218.9 kJ/mol of formula units
- Spin magnetization: 1.642 μB per formula unit
- Space-group type: No. 15
- Density of states at the Fermi level: 15.0 states/eV per cell

---

3.
Material: NiAgCl
Method: DFT, GGA-PBE
State: optimized geometry

Lattice parameters (Å, degrees): 3.9382 3.9382 3.8008 90.00 90.00 120.00
With the nearest neighbours (Å) after each atom.
Fractional positions:
Ag: 0.0000 0.0000 0.9998  6 Ni 2.96-2.97, 6 Cl 2.96
Cl: 0.6667 0.3333 0.4997  3 Ni 2.27
Ni: 0.3333 0.6667 0.5005  3 Cl 2.27

## Properties
- Formation energy without anion corrections: 79.0 kJ/mol of formula units
- Relative energy among the computed polymorphs: 200.4 meV per atom
- Spin magnetization: 0.001 μB per formula unit
- Space-group type: No. 187
- Density of states at the Fermi level: 1.8 states/eV per cell

---

4.
Material: NiAg2Cl4
Method: DFT, GGA-PBE
State: optimized geometry

Lattice parameters (Å, degrees): 6.6053 6.6053 5.9712 123.58 123.58 90.00
With the nearest neighbours (Å) after each atom.
Fractional positions:
Ni: 0.5000 0.5000 0.0000  4 Cl 2.19
Ag: 0.7500 0.2500 0.5000  4 Cl 2.75
Ag: 0.2500 0.7500 0.5000  4 Cl 2.75
Cl: 0.7856 0.3257 0.1112  1 Ni 2.19
Cl: 0.3257 0.7856 0.1112  1 Ni 2.19
Cl: 0.6743 0.6743 0.8888  1 Ni 2.19
Cl: 0.2144 0.2144 0.8888  1 Ni 2.19

## Properties
- Formation energy without anion corrections: -269.0 kJ/mol of formula units
- Relative energy among the computed polymorphs: 0.0 meV per atom
- Spin magnetization: 0.147 μB per formula unit
- Space-group type: No. 121
- Density of states at the Fermi level: 1.0 states/eV per cell

---

5.
Material: NiAg5Cl12
Method: DFT, GGA-PBE
State: optimized geometry

Lattice parameters (Å, degrees): 6.4832 6.7842 12.6412 85.45 80.44 61.46
With the nearest neighbours (Å) after each atom.
Fractional positions:
Ni: 0.0000 0.0000 0.0000  6 Cl 2.23-2.29
Ag: 0.5000 0.0000 0.5000  2 Cl 2.44
Ag: 0.1667 0.6665 0.5000  2 Cl 2.45
Ag: 0.8332 0.3335 0.5000  2 Cl 2.45
Ag: 0.6680 0.6640 0.0000  6 Cl 2.59-2.88
Ag: 0.3320 0.3360 0.0000  6 Cl 2.59-2.88
Cl: 0.8412 0.0000 0.3853  1 Ag 2.44
Cl: 0.1588 0.0000 0.6147  1 Ag 2.44
Cl: 0.7702 0.0000 0.8865  1 Ni 2.23
Cl: 0.2298 0.0000 0.1135  1 Ni 2.23
Cl: 0.3246 0.7276 0.8996  1 Ni 2.29
Cl: 0.9478 0.7276 0.1004  1 Ni 2.29
Cl: 0.0522 0.2724 0.8996  1 Ni 2.29
Cl: 0.6754 0.2724 0.1004  1 Ni 2.29
Cl: 0.4913 0.3335 0.6161  1 Ag 2.45
Cl: 0.8248 0.6665 0.6161  1 Ag 2.45
Cl: 0.1752 0.3335 0.3840  1 Ag 2.45
Cl: 0.5087 0.6665 0.3839  1 Ag 2.45

## Properties
- Formation energy without anion corrections: -586.2 kJ/mol of formula units
- Spin magnetization: 2.804 μB per formula unit
- Space-group type: No. 12
- Density of states at the Fermi level: 15.1 states/eV per cell

---

6.
Material: Ni2Ag2Cl7
Method: DFT, GGA-PBE
State: optimized geometry

Lattice parameters (Å, degrees): 7.2211 7.2211 12.6404 104.17 104.17 95.50
With the nearest neighbours (Å) after each atom.
Fractional positions:
Ni: 0.2067 0.1906 0.2025  4 Cl 2.18-2.24
Ni: 0.1906 0.2067 0.7025  4 Cl 2.18-2.24
Ni: 0.8094 0.7933 0.2975  4 Cl 2.18-2.24
Ni: 0.7933 0.8094 0.7975  4 Cl 2.18-2.24
Ag: 0.3629 0.7253 0.4653  5 Cl 2.56-2.72
Ag: 0.2747 0.6371 0.0347  5 Cl 2.56-2.72
Ag: 0.7253 0.3629 0.9653  5 Cl 2.56-2.72
Ag: 0.6371 0.2747 0.5347  5 Cl 2.56-2.72
Cl: 0.9926 0.6552 0.4083  1 Ni 2.18
Cl: 0.0784 0.3973 0.1135  1 Ni 2.22
Cl: 0.4229 0.3786 0.3561  1 Ni 2.21
Cl: 0.9802 0.0198 0.2500  2 Ni 2.24
Cl: 0.6552 0.9926 0.9083  1 Ni 2.18
Cl: 0.3973 0.0784 0.6135  1 Ni 2.22
Cl: 0.3786 0.4229 0.8561  1 Ni 2.21
Cl: 0.6214 0.5771 0.1439  1 Ni 2.21
Cl: 0.6027 0.9216 0.3865  1 Ni 2.22
Cl: 0.3448 0.0074 0.0917  1 Ni 2.18
Cl: 0.0198 0.9802 0.7500  2 Ni 2.24
Cl: 0.5771 0.6214 0.6439  1 Ni 2.21
Cl: 0.9216 0.6027 0.8865  1 Ni 2.22
Cl: 0.0074 0.3448 0.5917  1 Ni 2.18

## Properties
- Formation energy without anion corrections: -460.5 kJ/mol of formula units
- Spin magnetization: 5.063 μB per formula unit
- Space-group type: No. 15
- Density of states at the Fermi level: 4.7 states/eV per cell

---

7.
Material: Ni2AgCl6
Method: DFT, GGA-PBE
State: optimized geometry

Lattice parameters (Å, degrees): 5.8820 6.0758 6.0758 120.00 90.00 90.00
With the nearest neighbours (Å) after each atom.
Fractional positions:
Ni: 0.5000 0.6667 0.3333  6 Cl 2.35
Ni: 0.5000 0.3333 0.6667  6 Cl 2.35
Ag: 0.0000 0.0000 0.0000  6 Cl 2.72
Cl: 0.7242 0.6404 0.6404  2 Ni 2.35
Cl: 0.2758 0.6404 0.0000  2 Ni 2.35
Cl: 0.2758 0.0000 0.6404  2 Ni 2.35
Cl: 0.7242 0.3596 0.0000  2 Ni 2.35
Cl: 0.2758 0.3596 0.3596  2 Ni 2.35
Cl: 0.7242 0.0000 0.3596  2 Ni 2.35

## Properties
- Formation energy without anion corrections: -424.5 kJ/mol of formula units
- Spin magnetization: 2.961 μB per formula unit
- Space-group type: No. 162
- Density of states at the Fermi level: 6.4 states/eV per cell

---

8.
Material: Ni3Ag2Cl8
Method: DFT, GGA-PBE
State: optimized geometry

Lattice parameters (Å, degrees): 6.2010 7.4000 7.4000 57.67 78.97 78.97
With the nearest neighbours (Å) after each atom.
Fractional positions:
Ni: 0.5000 0.0000 0.0000  6 Cl 2.40-2.41
Ni: 0.0000 0.7501 0.2499  6 Cl 2.38-2.43
Ni: 0.0000 0.2499 0.7501  6 Cl 2.38-2.43
Ag: 0.3648 0.7261 0.7261  5 Cl 2.58-2.76
Ag: 0.6352 0.2739 0.2739  5 Cl 2.58-2.76
Cl: 0.9186 0.3927 0.3927  2 Ni 2.38, 1 Ag 2.58
Cl: 0.0814 0.6073 0.6073  2 Ni 2.38, 1 Ag 2.58
Cl: 0.8764 0.8993 0.8993  3 Ni 2.41-2.43
Cl: 0.1236 0.1007 0.1007  3 Ni 2.41-2.43
Cl: 0.6280 0.3391 0.8752  2 Ni 2.40-2.42
Cl: 0.6280 0.8752 0.3391  2 Ni 2.40-2.42
Cl: 0.3720 0.1248 0.6609  2 Ni 2.40-2.42
Cl: 0.3720 0.6609 0.1248  2 Ni 2.40-2.42

## Properties
- Formation energy without anion corrections: -643.1 kJ/mol of formula units
- Spin magnetization: 5.994 μB per formula unit
- Space-group type: No. 12

---

9.
Material: NiAg2Cl4
Method: DFT, GGA-PBE
State: optimized geometry

Lattice parameters (Å, degrees): 3.7656 3.7656 14.1909 82.38 82.38 60.00
With the nearest neighbours (Å) after each atom.
Fractional positions:
Ni: 0.0000 0.0000 0.0000  6 Cl 2.48
Ag: 0.1889 0.1889 0.4334  3 Cl 2.55
Ag: 0.8111 0.8111 0.5666  3 Cl 2.55
Cl: 0.3619 0.3619 0.9142  3 Ni 2.48
Cl: 0.1128 0.1128 0.6615  3 Ag 2.55
Cl: 0.6381 0.6381 0.0858  3 Ni 2.48
Cl: 0.8872 0.8872 0.3385  3 Ag 2.55

## Properties
- Formation energy without anion corrections: -250.7 kJ/mol of formula units
- Relative energy among the computed polymorphs: 27.1 meV per atom
- Spin magnetization: 2.041 μB per formula unit
- Space-group type: No. 166

---

10.
Material: NiAgCl4
Method: DFT, GGA-PBE
State: optimized geometry

Lattice parameters (Å, degrees): 5.8618 5.8618 5.8618 60.00 60.00 60.00
With the nearest neighbours (Å) after each atom.
Fractional positions:
Ni: 0.7500 0.7500 0.7500  12 Cl 3.44, 4 Ag 3.59
Ag: 0.0000 0.0000 0.0000  12 Cl 3.44, 4 Ni 3.59
Cl: 0.8741 0.3753 0.3753  6 Cl 2.92-2.94
Cl: 0.3753 0.3753 0.8741  6 Cl 2.92-2.94
Cl: 0.3753 0.8741 0.3753  6 Cl 2.92-2.94
Cl: 0.3753 0.3753 0.3753  6 Cl 2.92-2.94

## Properties
- Formation energy without anion corrections: 506.5 kJ/mol of formula units
- Spin magnetization: 2.983 μB per formula unit
- Space-group type: No. 216
- Density of states at the Fermi level: 9.1 states/eV per cell

---

11.
Material: NiAg3Cl
Method: DFT, GGA-PBE
State: optimized geometry

Lattice parameters (Å, degrees): 4.8623 4.8623 4.8623 90.00 90.00 90.00
With the nearest neighbours (Å) after each atom.
Fractional positions:
Ni: 0.0000 0.0000 0.0000  6 Ag 2.43
Ag: 0.0000 0.5000 0.0000  2 Ni 2.43
Ag: 0.0000 0.0000 0.5000  2 Ni 2.43
Ag: 0.5000 0.0000 0.0000  2 Ni 2.43
Cl: 0.5000 0.5000 0.5000  12 Ag 3.44

## Properties
- Formation energy without anion corrections: 302.3 kJ/mol of formula units
- Relative energy among the computed polymorphs: 0.0 meV per atom
- Spin magnetization: 0.211 μB per formula unit
- Space-group type: No. 221
- Density of states at the Fermi level: 3.7 states/eV per cell

---

12.
Material: NiAg3Cl
Method: DFT, GGA-PBE
State: optimized geometry

Lattice parameters (Å, degrees): 4.9680 4.9680 4.9680 90.00 90.00 90.00
With the nearest neighbours (Å) after each atom.
Fractional positions:
Ni: 0.5000 0.5000 0.5000  12 Ag 3.51
Ag: 0.0000 0.5000 0.0000  2 Cl 2.48
Ag: 0.0000 0.0000 0.5000  2 Cl 2.48
Ag: 0.5000 0.0000 0.0000  2 Cl 2.48
Cl: 0.0000 0.0000 0.0000  6 Ag 2.48

## Properties
- Formation energy without anion corrections: 476.5 kJ/mol of formula units
- Relative energy among the computed polymorphs: 361.2 meV per atom
- Spin magnetization: 0.395 μB per formula unit
- Space-group type: No. 221
- Density of states at the Fermi level: 5.1 states/eV per cell